A plane-wave DFT calculation with PBE-GGA was carried out for a relaxed Sm3CI crystal.

Results
For the formation energy (no corrections), the calculation gives -0.18 eV per atom. The symmetry is Pmmn (59).

Unit cell a=3.764 b=8.790 c=8.211 alpha=90.00 beta=90.00 gamma=90.00
Fractional coordinates of all 10 atoms:
Sm 0.750 0.932 0.853
C 0.750 0.250 0.980
I 0.750 0.250 0.441
Sm 0.750 0.568 0.853
Sm 0.250 0.432 0.147
Sm 0.250 0.068 0.147
Sm 0.750 0.750 0.216
Sm 0.250 0.250 0.784
C 0.250 0.750 0.020
I 0.250 0.750 0.559

---

A plane-wave DFT calculation with PBE-GGA was carried out for a relaxed BaPrReN3 crystal.

Results
For the formation energy (no corrections), the calculation gives -0.72 eV per atom. The symmetry is P6_3/mmc (194).

Unit cell a=6.295 b=6.295 c=7.091 alpha=90.00 beta=90.00 gamma=120.00
Last column: magnetic moment on the atom in μB.
Fractional coordinates of all 12 atoms:
N 0.164 0.329 0.250  0.01
N 0.164 0.836 0.250  0.01
Re 0.333 0.667 0.250  0.16
Pr 0.000 0.000 0.500  0.04
N 0.671 0.836 0.250  0.01
Re 0.667 0.333 0.750  0.16
Ba 0.333 0.667 0.750  0.00
N 0.836 0.164 0.750  0.01
N 0.329 0.164 0.750  0.01
N 0.836 0.671 0.750  0.01
Ba 0.667 0.333 0.250  0.00
Pr 0.000 0.000 0.000  0.04

---

A plane-wave DFT calculation with PBE-GGA was carried out for a relaxed Ba5Cd2I2 crystal.

Results
For the formation energy (no corrections), the calculation gives -0.70 eV per atom. The symmetry is Cmce (64).

Unit cell a=9.396 b=9.467 c=10.324 alpha=90.00 beta=62.93 gamma=90.00
Fractional coordinates of all 18 atoms:
Ba 0.964 0.340 0.747
Ba 0.789 0.840 0.747
Cd 0.127 0.373 0.000
Ba 0.711 0.340 0.253
Ba 0.036 0.660 0.253
Ba 0.211 0.160 0.253
I 0.794 0.000 0.412
Ba 0.000 0.000 0.000
Ba 0.500 0.500 0.000
Cd 0.873 0.627 0.000
I 0.706 0.500 0.588
Cd 0.373 0.873 0.000
Cd 0.627 0.127 0.000
I 0.294 0.500 0.412
Ba 0.536 0.840 0.253
Ba 0.289 0.660 0.747
I 0.206 0.000 0.588
Ba 0.464 0.160 0.747

---

A plane-wave DFT calculation with PBE-GGA was carried out for a relaxed TbPm5Tm2 crystal.

Results
The formation energy is 0.016 eV per atom. As for the offset from the most stable computed form: 0 meV/atom. The symmetry is Pbam (55).

Unit cell a=5.086 b=7.192 c=14.385 alpha=90.00 beta=90.00 gamma=90.00
Fractional coordinates of all 16 atoms:
Pm 0.500 0.249 0.376
Pm 0.500 0.749 0.124
Pm 0.500 0.751 0.624
Pm 0.000 0.501 0.751
Pm 0.000 0.500 0.500
Tm 0.500 0.250 0.124
Pm 0.000 0.999 0.251
Tm 0.500 0.750 0.876
Pm 0.500 0.251 0.876
Pm 0.000 0.001 0.749
Tm 0.500 0.250 0.624
Pm 0.000 0.499 0.249
Tm 0.500 0.750 0.376
Pm 0.000 0.000 0.000
Tb 0.000 0.000 0.500
Tb 0.000 0.500 0.000

---

A plane-wave DFT calculation with PBE-GGA was carried out for a relaxed Rb5Br2Cl2 crystal.

Results
For the formation energy (no corrections), the calculation gives -1.52 eV per atom. The symmetry is Cmce (64).

Unit cell a=9.147 b=10.054 c=10.054 alpha=123.27 beta=90.00 gamma=90.00
Fractional coordinates of all 18 atoms:
Br 0.000 0.195 0.805
Rb 0.148 0.199 0.472
Rb 0.148 0.472 0.199
Br 0.500 0.305 0.695
Br 0.000 0.805 0.195
Rb 0.648 0.301 0.028
Rb 0.000 0.000 0.000
Rb 0.648 0.028 0.301
Rb 0.352 0.972 0.699
Br 0.500 0.695 0.305
Rb 0.500 0.500 0.500
Rb 0.852 0.528 0.801
Rb 0.852 0.801 0.528
Cl 0.842 0.326 0.326
Cl 0.342 0.174 0.174
Rb 0.352 0.699 0.972
Cl 0.658 0.826 0.826
Cl 0.158 0.674 0.674

---

A plane-wave DFT calculation with PBE-GGA was carried out for a relaxed AcHoSb2 crystal.

Results
For the formation energy (no corrections), the calculation gives -0.81 eV per atom. As for the offset from the most stable computed form: 334 meV/atom. The symmetry is P4/mmm (123).

Unit cell a=3.546 b=5.857 c=5.857 alpha=90.00 beta=90.00 gamma=90.00
Fractional coordinates of all 4 atoms:
Ho 0.500 0.000 0.000
Sb 0.000 0.000 0.500
Sb 0.000 0.500 0.000
Ac 0.500 0.500 0.500

---

A plane-wave DFT calculation with PBE-GGA was carried out for a relaxed AlAsSe2N crystal.

Results
For the formation energy (no corrections), the calculation gives 0.39 eV per atom. As for the offset from the most stable computed form: 0 meV/atom. The symmetry is P4/mmm (123).

Unit cell a=5.100 b=5.100 c=3.526 alpha=90.00 beta=90.00 gamma=90.00
Fractional coordinates of all 5 atoms:
Se 0.000 0.500 0.000
N 0.000 0.000 0.500
As 0.500 0.500 0.500
Al 0.000 0.000 0.000
Se 0.500 0.000 0.000

---

A plane-wave DFT calculation with PBE-GGA was carried out for a relaxed Ta2HgW crystal.

Results
The formation energy is 0.331 eV per atom. The symmetry is Immm (71).

Unit cell a=5.277 b=5.277 c=5.277 alpha=140.45 beta=128.15 gamma=67.12
Fractional coordinates of all 4 atoms:
Ta 0.987 0.987 0.000
Ta 0.513 0.513 0.000
Hg 0.250 0.750 0.500
W 0.750 0.250 0.500

---

A plane-wave DFT calculation with PBE-GGA was carried out for a relaxed Fe3CuP crystal.

Results
The formation energy is 1.193 eV per atom. As for the offset from the most stable computed form: 762 meV/atom. The symmetry is Pm-3m (221).

Unit cell a=4.338 b=4.338 c=4.338 alpha=90.00 beta=90.00 gamma=90.00
Last column: magnetic moment on the atom in μB.
Fractional coordinates of all 5 atoms:
Cu 0.000 0.000 0.000  0.24
P 0.500 0.500 0.500  0.06
Fe 0.000 0.000 0.500  3.42
Fe 0.000 0.500 0.000  2.96
Fe 0.500 0.000 0.000  2.51

---

A plane-wave DFT calculation with PBE-GGA was carried out for a relaxed SrSbPb2O8 crystal.

Results
For the formation energy (no corrections), the calculation gives -1.21 eV per atom. The symmetry is P2/m (10).

Unit cell a=4.958 b=4.823 c=7.263 alpha=90.00 beta=90.00 gamma=88.21
Last column: magnetic moment on the atom in μB.
Fractional coordinates of all 12 atoms:
O 0.676 0.745 0.000  0.02
O 0.848 0.224 0.789  0.01
Pb 0.500 0.500 0.766  -0.01
O 0.152 0.776 0.211  0.01
O 0.324 0.255 0.000  0.02
O 0.548 0.750 0.500  0.14
Sr 0.000 0.000 0.500  0.00
O 0.452 0.250 0.500  0.14
O 0.848 0.224 0.211  0.01
Pb 0.500 0.500 0.234  -0.01
O 0.152 0.776 0.789  0.01
Sb 0.000 0.000 0.000  0.00

---

A plane-wave DFT calculation with PBE-GGA was carried out for a relaxed NbV3Zn crystal.

Results
The formation energy is 1.263 eV per atom. As for the offset from the most stable computed form: 0 meV/atom. The symmetry is Pm-3m (221).

Unit cell a=4.436 b=4.436 c=4.436 alpha=90.00 beta=90.00 gamma=90.00
Fractional coordinates of all 5 atoms:
V 0.000 0.000 0.500
V 0.500 0.000 0.000
Nb 0.500 0.500 0.500
Zn 0.000 0.000 0.000
V 0.000 0.500 0.000

---

A plane-wave DFT calculation with PBE-GGA was carried out for a relaxed Tm3Ge2Ru2 crystal.

Results
The formation energy is -0.722 eV per atom. The symmetry is Pbcm (57).

Unit cell a=5.502 b=7.610 c=13.510 alpha=90.00 beta=90.00 gamma=90.00
Fractional coordinates of all 28 atoms:
Tm 0.850 0.402 0.599
Ru 0.648 0.035 0.592
Tm 0.150 0.598 0.099
Ge 0.879 0.115 0.750
Ge 0.368 0.250 0.500
Ru 0.648 0.465 0.408
Ru 0.352 0.965 0.408
Tm 0.150 0.902 0.599
Tm 0.376 0.232 0.250
Tm 0.850 0.098 0.401
Tm 0.150 0.598 0.401
Tm 0.624 0.768 0.750
Ge 0.121 0.615 0.750
Tm 0.624 0.732 0.250
Ge 0.632 0.750 0.000
Ge 0.368 0.250 0.000
Tm 0.850 0.402 0.901
Ge 0.632 0.750 0.500
Ru 0.352 0.965 0.092
Tm 0.376 0.268 0.750
Ge 0.879 0.385 0.250
Ge 0.121 0.885 0.250
Tm 0.150 0.902 0.901
Tm 0.850 0.098 0.099
Ru 0.352 0.535 0.908
Ru 0.352 0.535 0.592
Ru 0.648 0.465 0.092
Ru 0.648 0.035 0.908

---

no.,density of states at the Fermi level (states/eV/atom),total DFT energy (no corrections) (eV per atom)
1,0.3445,-5.165
2,0.6953,-8.073
3,1.1421,-2.319
4,1.4370,-4.650
5,0.1684,-2.841
6,0.5849,-5.041
7,0.9810,-4.351
8,0.7387,-8.909
9,1.0211,-5.786
10,0.5904,-5.617
11,1.3225,-6.477
12,0.5312,-6.607